A geometry-optimized DyPa2Si structure, computed with PBE-GGA. Values from VASP.

Formation energy (no corrections) ... 80 kJ/mol of formula units
Space-group type ... R-3m, No. 166
Energy ... -28.191 eV for the cell shown
M_tot ... 0.00 μB per formula unit

Geometry as Quantum ESPRESSO input:
```
&SYSTEM
  ibrav = 0, nat = 4, ntyp = 3
/
ATOMIC_SPECIES
Si 28.09 Si.upf
Dy 162.50 Dy.upf
Pa 231.04 Pa.upf
CELL_PARAMETERS angstrom
3.1767 0.0000 0.0000
1.5883 2.7511 0.0000
1.5883 0.9170 11.1917
ATOMIC_POSITIONS crystal
Si 0.5000 0.5000 0.5000
Dy 0.0000 0.0000 0.0000
Pa 0.9034 0.9034 0.2899
Pa 0.0966 0.0966 0.7101
```